Entry 1:
# PBE YRu2, relaxed
# Magnetic moment   0.0 μB/f.u.
# DFT formation energy   18 kJ/mol of formula units
# Fermi-level density of states   1.2128 states/eV/atom
data_YRu2
_cell_length_a 4.4309
_cell_length_b 4.4309
_cell_length_c 3.3262
_cell_angle_alpha 90.00
_cell_angle_beta 90.00
_cell_angle_gamma 119.55
_space_group_name_H-M_alt 'P 1'
_space_group_IT_number 1
_space_group_name_Hall 'P 1'
loop_
_atom_site_label
_atom_site_type_symbol
_atom_site_fract_x
_atom_site_fract_y
_atom_site_fract_z
Y1 Y 0.0000 0.0000 0.0000
Ru1 Ru 0.3446 0.6554 0.5000
Ru2 Ru 0.6554 0.3446 0.5000

=====

Entry 2:
# PBE Y3Ru, relaxed
# Magnetic moment   0.0 μB/f.u.
# DFT formation energy   28 kJ/mol of formula units
# Fermi-level density of states   1.3725 states/eV/atom
data_Y3Ru
_cell_length_a 6.6958
_cell_length_b 6.6958
_cell_length_c 10.2751
_cell_angle_alpha 90.00
_cell_angle_beta 90.00
_cell_angle_gamma 120.00
_space_group_name_H-M_alt 'P 1'
_space_group_IT_number 1
_space_group_name_Hall 'P 1'
loop_
_atom_site_label
_atom_site_type_symbol
_atom_site_fract_x
_atom_site_fract_y
_atom_site_fract_z
Y1 Y 0.0000 0.5000 0.0000
Y2 Y 0.0000 0.5000 0.5000
Y3 Y 0.1563 0.3127 0.2500
Y4 Y 0.1563 0.8437 0.2500
Y5 Y 0.3127 0.1563 0.7500
Y6 Y 0.5000 0.0000 0.0000
Y7 Y 0.5000 0.0000 0.5000
Y8 Y 0.5000 0.5000 0.0000
Y9 Y 0.5000 0.5000 0.5000
Y10 Y 0.6873 0.8437 0.2500
Y11 Y 0.8437 0.1563 0.7500
Y12 Y 0.8437 0.6873 0.7500
Ru1 Ru 0.0000 0.0000 0.0000
Ru2 Ru 0.0000 0.0000 0.5000
Ru3 Ru 0.3333 0.6667 0.7500
Ru4 Ru 0.6667 0.3333 0.2500

=====

Entry 3:
# PBE Y3Ru, relaxed
# Magnetic moment   0.0 μB/f.u.
# DFT formation energy   52 kJ/mol of formula units
# Fermi-level density of states   1.0931 states/eV/atom
data_Y3Ru
_cell_length_a 5.9437
_cell_length_b 5.9437
_cell_length_c 5.9437
_cell_angle_alpha 136.42
_cell_angle_beta 136.42
_cell_angle_gamma 63.33
_space_group_name_H-M_alt 'P 1'
_space_group_IT_number 1
_space_group_name_Hall 'P 1'
loop_
_atom_site_label
_atom_site_type_symbol
_atom_site_fract_x
_atom_site_fract_y
_atom_site_fract_z
Y1 Y 0.0000 0.0000 0.0000
Y2 Y 0.2500 0.7500 0.5000
Y3 Y 0.7500 0.2500 0.5000
Ru1 Ru 0.5000 0.5000 0.0000